1.
DFT (meta-GGA SCAN) results for In3P at its PBEsol-relaxed geometry.

Values from the calculation:
The calculated volume comes out at 24.25 Å³/atom. For the calculated density, the calculation gives 6.43 g/cm³. The calculation puts the formation energy at 0.026 eV per atom. The value obtained for the density of states at the Fermi level is 0.170 states/eV/atom.

Structure (extended XYZ):
```
4
Lattice="3.816 0.000 0.000 -1.908 3.304 0.000 0.000 0.000 7.693" Properties=species:S:1:pos:R:3 pbc="T T T"
In 0.000 2.203 0.000
In 0.000 0.000 2.247
In 0.000 0.000 5.447
P 0.000 2.203 3.847
```

---

2.
DFT (meta-GGA SCAN) results for In3P at its PBEsol-relaxed geometry.

Values from the calculation:
The calculated volume comes out at 22.54 Å³/atom. For the calculated density, the calculation gives 6.91 g/cm³. The calculation puts the formation energy at 0.173 eV per atom. The value obtained for the density of states at the Fermi level is 0.362 states/eV/atom.

Structure (extended XYZ):
```
4
Lattice="-3.298 -0.906 -0.664 0.933 -1.065 -3.183 1.333 -6.803 2.666" Properties=species:S:1:pos:R:3 pbc="T T T"
In 1.057 -5.392 2.113
In 0.277 -1.411 0.553
In -0.516 -4.387 -0.590
P -1.182 -0.986 -1.923
```

---

3.
DFT (meta-GGA SCAN) results for InP3 at its PBEsol-relaxed geometry.

Values from the calculation:
The calculated volume comes out at 16.70 Å³/atom. For the calculated density, the calculation gives 5.16 g/cm³. The calculation puts the formation energy at 0.760 eV per atom. The value obtained for the density of states at the Fermi level is 0.447 states/eV/atom.

Structure (extended XYZ):
```
4
Lattice="3.215 0.000 0.000 0.000 4.558 0.000 0.000 0.000 4.558" Properties=species:S:1:pos:R:3 pbc="T T T"
P 0.000 2.279 2.279
P 1.607 0.000 2.279
P 1.607 2.279 0.000
In 0.000 0.000 0.000
```

---

4.
DFT (meta-GGA SCAN) results for InP2Pb at its PBEsol-relaxed geometry.

Values from the calculation:
As for the energy above the most stable polymorph in this dataset: 0.000 eV per atom. The calculated volume comes out at 23.30 Å³/atom. For the calculated density, the calculation gives 6.84 g/cm³. The calculation puts the formation energy at 0.075 eV per atom. The value obtained for the density of states at the Fermi level is 0.347 states/eV/atom.

Structure (extended XYZ):
```
4
Lattice="3.265 0.000 0.000 -1.633 4.058 -0.024 0.000 -2.376 7.049" Properties=species:S:1:pos:R:3 pbc="T T T"
In 1.633 1.300 1.432
Pb 1.633 -1.084 3.733
P 0.000 0.835 5.467
P 1.633 1.125 6.943
```

---

5.
DFT (meta-GGA SCAN) results for InPPb2 at its PBEsol-relaxed geometry.

Values from the calculation:
As for the energy above the most stable polymorph in this dataset: 0.249 eV per atom. The calculated volume comes out at 25.02 Å³/atom. For the calculated density, the calculation gives 9.29 g/cm³. The calculation puts the formation energy at 0.286 eV per atom. The value obtained for the density of states at the Fermi level is 0.467 states/eV/atom.

Structure (extended XYZ):
```
4
Lattice="4.176 0.000 0.000 0.000 4.896 0.045 0.000 -0.056 4.895" Properties=species:S:1:pos:R:3 pbc="T T T"
Pb 0.000 2.448 0.022
Pb 0.000 -0.028 2.448
In 2.088 0.000 0.000
P 2.088 2.420 2.470
```

---

6.
DFT (meta-GGA SCAN) results for InP2Pb at its PBEsol-relaxed geometry.

Values from the calculation:
As for the energy above the most stable polymorph in this dataset: 0.414 eV per atom. The calculated volume comes out at 20.71 Å³/atom. For the calculated density, the calculation gives 7.70 g/cm³. The calculation puts the formation energy at 0.488 eV per atom. The value obtained for the density of states at the Fermi level is 0.537 states/eV/atom.

Structure (extended XYZ):
```
4
Lattice="4.888 0.000 0.000 -2.444 4.242 0.036 0.000 2.782 4.019" Properties=species:S:1:pos:R:3 pbc="T T T"
In 0.000 0.000 0.000
P 0.000 2.816 1.023
P 2.444 4.207 3.032
Pb 2.444 1.391 2.009
```